[1]
A relaxed Gd2ErFe7Ni2 crystal. Source: OQMD via LeMat-Bulk, functional PBE-GGA.

Space group: No. 166
Final energy: -7.038 eV per atom
ΔE_f: -106.9 meV/atom

abc: 8.733 8.733 8.733
angles: 33.34 33.34 33.34
Fractional positions:
Gd: 0.141 0.141 0.141
Gd: 0.859 0.859 0.859
Er: 0.000 0.000 0.000
Fe: 0.083 0.581 0.581
Fe: 0.419 0.419 0.917
Fe: 0.419 0.917 0.419
Fe: 0.500 0.500 0.500
Fe: 0.581 0.083 0.581
Fe: 0.581 0.581 0.083
Fe: 0.917 0.419 0.419
Ni: 0.332 0.332 0.332
Ni: 0.668 0.668 0.668

***

[2]
A relaxed Gd2Te2O5 crystal. Source: OQMD via LeMat-Bulk, functional PBE-GGA.

Space group: No. 123
Final energy: -6.458 eV per atom
Excess energy over the best structure of this formula in the dataset: 0.0 meV per atom

abc: 3.920 3.920 9.305
angles: 90.00 90.00 90.00
Fractional positions:
Gd: 0.000 0.000 0.241
Gd: 0.000 0.000 0.759
Te: 0.500 0.500 0.000
Te: 0.500 0.500 0.500
O: 0.000 0.000 0.000
O: 0.000 0.500 0.359
O: 0.000 0.500 0.641
O: 0.500 0.000 0.359
O: 0.500 0.000 0.641

***

[3]
A relaxed LaDy2Ga4Ni crystal. Source: OQMD via LeMat-Bulk, functional PBE-GGA.

Space group: No. 38
Final energy: -4.381 eV per atom

abc: 6.768 7.020 7.020
angles: 32.41 90.00 90.00
Fractional positions:
La: 0.000 0.000 0.000
Dy: 0.000 0.737 0.737
Dy: 0.500 0.190 0.190
Ga: 0.270 0.368 0.368
Ga: 0.317 0.556 0.556
Ga: 0.683 0.556 0.556
Ga: 0.730 0.368 0.368
Ni: 0.500 0.933 0.933

***

[4]
A relaxed Gd3ReB7 crystal. Source: OQMD via LeMat-Bulk, functional PBE-GGA.

Space group: No. 63
Final energy: -7.210 eV per atom

abc: 8.168 8.168 9.406
angles: 90.00 90.00 154.81
Fractional positions:
Gd: 0.105 0.895 0.561
Gd: 0.105 0.895 0.939
Gd: 0.242 0.758 0.250
Gd: 0.758 0.242 0.750
Gd: 0.895 0.105 0.061
Gd: 0.895 0.105 0.439
Re: 0.054 0.946 0.250
Re: 0.946 0.054 0.750
B: 0.273 0.727 0.533
B: 0.273 0.727 0.967
B: 0.368 0.632 0.651
B: 0.368 0.632 0.849
B: 0.459 0.541 0.250
B: 0.479 0.521 0.596
B: 0.479 0.521 0.904
B: 0.521 0.479 0.096
B: 0.521 0.479 0.404
B: 0.541 0.459 0.750
B: 0.632 0.368 0.151
B: 0.632 0.368 0.349
B: 0.727 0.273 0.033
B: 0.727 0.273 0.467

***

[5]
A relaxed ScCuSnSeS2 crystal. Source: OQMD via LeMat-Bulk, functional PBE-GGA.

Space group: No. 63
Final energy: -5.223 eV per atom

abc: 6.816 6.816 9.977
angles: 90.00 90.00 147.77
Fractional positions:
Sc: 0.000 0.000 0.000
Sc: 0.000 0.000 0.500
Cu: 0.465 0.535 0.750
Cu: 0.535 0.465 0.250
Sn: 0.228 0.772 0.250
Sn: 0.772 0.228 0.750
Se: 0.086 0.914 0.750
Se: 0.914 0.086 0.250
S: 0.368 0.632 0.559
S: 0.368 0.632 0.941
S: 0.632 0.368 0.059
S: 0.632 0.368 0.441

***

[6]
A relaxed LaTbSi2Br2 crystal. Source: OQMD via LeMat-Bulk, functional PBE-GGA.

Space group: No. 156
Final energy: -5.233 eV per atom

abc: 4.112 4.112 11.367
angles: 90.00 90.00 120.00
Fractional positions:
La: 0.000 0.000 0.000
Tb: 0.000 0.000 0.351
Si: 0.333 0.667 0.190
Si: 0.667 0.333 0.175
Br: 0.333 0.667 0.828
Br: 0.667 0.333 0.509

***

[7]
A relaxed AlZnTe crystal. Source: OQMD via LeMat-Bulk, functional PBE-GGA.

Space group: No. 216
Final energy: -2.528 eV per atom
Excess energy over the best structure of this formula in the dataset: 0.0 meV per atom

abc: 4.734 4.734 4.734
angles: 60.00 60.00 60.00
Fractional positions:
Al: 0.000 0.000 0.000
Zn: 0.250 0.250 0.250
Te: 0.750 0.750 0.750

***

[8]
A relaxed LiNbReSb crystal. Source: OQMD via LeMat-Bulk, functional PBE-GGA.

Space group: No. 216
Final energy: -7.286 eV per atom
Excess energy over the best structure of this formula in the dataset: 0.0 meV per atom

abc: 4.510 4.510 4.510
angles: 60.00 60.00 60.00
Fractional positions:
Li: 0.000 0.000 0.000
Nb: 0.250 0.250 0.250
Re: 0.500 0.500 0.500
Sb: 0.750 0.750 0.750